Here is a relaxed structure of AlNi3W from Alexandria via LeMat-Bulk. Energies are from PBE.

Cell and atoms, written as POSCAR:
```
AlNi3W
1.0
4.513 0.000 0.000
0.000 4.513 0.000
0.000 0.000 4.513
Ni Al W
3 1 1
direct
0.000 0.500 0.000
0.500 0.000 0.000
0.000 0.000 0.500
0.500 0.500 0.500
0.000 0.000 0.000
```

The space group is Pm-3m, No. 221. The formation enthalpy at 0 K comes out at 1.338 eV/atom.

=====

Here is a relaxed structure of Al2NiW from Alexandria via LeMat-Bulk. Energies are from PBE.

Cell and atoms, written as POSCAR:
```
Al2NiW
1.0
8.545 -0.008 -0.005
8.086 2.761 -0.005
8.086 1.338 2.415
Al Ni W
2 1 1
direct
0.493 0.493 0.493
0.007 0.007 0.007
0.750 0.750 0.750
0.250 0.250 0.250
```

The space group is R-3m, No. 166. The formation enthalpy at 0 K comes out at -0.172 eV/atom.

=====

Here is a relaxed structure of AlNiW2 from Alexandria via LeMat-Bulk. Energies are from PBE.

Cell and atoms, written as POSCAR:
```
AlNiW2
1.0
-2.196 1.149 -1.099
-0.113 -1.982 -1.846
-4.578 -4.183 4.773
W Ni Al
2 1 1
direct
0.500 0.500 0.262
0.000 0.000 0.971
0.500 0.500 0.738
0.000 0.000 0.529
```

The space group is P4mm, No. 99. The formation enthalpy at 0 K comes out at -0.057 eV/atom.

=====

Here is a relaxed structure of AlNiW2 from Alexandria via LeMat-Bulk. Energies are from PBE.

Cell and atoms, written as POSCAR:
```
AlNiW2
1.0
6.903 0.000 0.000
0.000 6.903 0.000
3.452 3.452 2.613
Al W Ni
2 4 2
direct
0.500 0.500 0.000
0.250 0.750 0.500
0.375 0.355 0.750
0.875 0.895 0.750
0.105 0.625 0.250
0.645 0.125 0.250
0.000 0.000 0.000
0.750 0.250 0.500
```

The space group is I-42d, No. 122. The formation enthalpy at 0 K comes out at 0.593 eV/atom.